The following is a DFT calculation (PBE) of V3MoS after structural relaxation.

Cell lengths 4.239, 4.239, 4.239 Å; angles 90.00, 90.00, 90.00 degrees
Atoms (fractional coordinates):
V  0.000  0.500  0.000
V  0.500  0.000  0.000
V  0.000  0.000  0.500
S  0.000  0.000  0.000
Mo  0.500  0.500  0.500

Properties
calculated density = 6.1 g/cm³
total magnetization = 0.00 μB per cell
ΔE_f (raw) = 1.20 eV/f.u.
symmetry = Pm-3m (221)


The following is a DFT calculation (PBE) of VMoS3 after structural relaxation.

Cell lengths 4.675, 4.675, 4.675 Å; angles 90.00, 90.00, 90.00 degrees
Atoms (fractional coordinates):
V  0.500  0.500  0.500
Mo  0.000  0.000  0.000
S  0.500  0.000  0.000
S  0.000  0.000  0.500
S  0.000  0.500  0.000

Properties
calculated density = 4.0 g/cm³
total magnetization = 3.48 μB per cell
ΔE_f (raw) = 1.43 eV/f.u.
symmetry = Pm-3m (221)


The following is a DFT calculation (PBE) of V4MoS8 after structural relaxation.

Cell lengths 6.897, 6.897, 6.897 Å; angles 60.00, 60.00, 60.00 degrees
Atoms (fractional coordinates):
S  0.121  0.637  0.121
S  0.613  0.613  0.161
S  0.637  0.121  0.121
S  0.161  0.613  0.613
S  0.613  0.161  0.613
S  0.121  0.121  0.121
S  0.121  0.121  0.637
S  0.613  0.613  0.613
V  0.354  0.354  0.354
V  0.354  0.938  0.354
V  0.354  0.354  0.938
V  0.938  0.354  0.354
Mo  0.750  0.750  0.750

Properties
calculated density = 4.0 g/cm³
total magnetization = 6.12 μB per cell
ΔE_f (raw) = -9.98 eV/f.u.
symmetry = F-43m (216)


The following is a DFT calculation (PBE) of VMo3S after structural relaxation.

Cell lengths 4.548, 4.548, 4.548 Å; angles 90.00, 90.00, 90.00 degrees
Atoms (fractional coordinates):
V  0.000  0.000  0.000
S  0.500  0.500  0.500
Mo  0.000  0.500  0.000
Mo  0.000  0.000  0.500
Mo  0.500  0.000  0.000

Properties
calculated density = 6.5 g/cm³
total magnetization = 0.00 μB per cell
ΔE_f (raw) = 7.85 eV/f.u.
symmetry = Pm-3m (221)


The following is a DFT calculation (PBE) of ZrV2MoS after structural relaxation.

Cell lengths 4.245, 4.813, 4.245 Å; angles 90.00, 90.00, 90.00 degrees
Atoms (fractional coordinates):
Mo  0.500  0.500  0.500
Zr  0.000  0.500  0.000
V  0.500  0.000  0.000
V  0.000  0.000  0.500
S  0.000  0.000  0.000

Properties
calculated density = 6.1 g/cm³
total magnetization = 0.01 μB per cell
ΔE_f (raw) = 0.86 eV/f.u.
symmetry = P4/mmm (123)


The following is a DFT calculation (PBE) of Mo2WS after structural relaxation.

Cell lengths 7.231, 7.231, 5.690 Å; angles 50.56, 50.56, 90.00 degrees
Atoms (fractional coordinates):
Mo  0.543  0.125  0.250
Mo  0.375  0.457  0.750
Mo  0.875  0.793  0.750
Mo  0.207  0.625  0.250
W  0.750  0.250  0.500
W  0.000  0.000  0.000
S  0.500  0.500  0.000
S  0.250  0.750  0.500

Properties
calculated density = 10.4 g/cm³
total magnetization = 0.00 μB per cell
ΔE_f (raw) = 2.12 eV/f.u.
symmetry = I-42d (122)